Entry 1:
# PmCo4Ge6 (GGA-PBE, relaxed)
# * D(E_F): 3.8 states/eV/f.u.
# * calculated formation energy: -0.286 eV/atom
# * spin magnetization: 0.0 μB per formula unit
data_PmCo4Ge6
_chemical_formula_sum 'Pm1 Co4 Ge6'
_space_group_name_H-M_alt 'P 1'
_space_group_IT_number 1
_space_group_name_Hall 'P 1'
_cell_length_a 7.133
_cell_length_b 7.133
_cell_length_c 3.721
_cell_angle_alpha 90.00
_cell_angle_beta 90.00
_cell_angle_gamma 120.00
loop_
_atom_site_label
_atom_site_type_symbol
_atom_site_fract_x
_atom_site_fract_y
_atom_site_fract_z
_atom_site_occupancy
Pm1 Pm 0.000 0.000 0.000 1
Co1 Co 0.208 0.416 0.500 1
Co2 Co 0.208 0.792 0.500 1
Co3 Co 0.584 0.792 0.500 1
Co4 Co 0.667 0.333 0.000 1
Ge1 Ge 0.064 0.532 0.000 1
Ge2 Ge 0.388 0.194 0.500 1
Ge3 Ge 0.468 0.532 0.000 1
Ge4 Ge 0.468 0.936 0.000 1
Ge5 Ge 0.806 0.194 0.500 1
Ge6 Ge 0.806 0.612 0.500 1

=====

Entry 2:
# Pm3Co2Ge4 (GGA-PBE, relaxed)
# * D(E_F): 8.8 states/eV/f.u.
# * energy above the lowest structure with this stoichiometry: 0.0533 eV/atom
# * calculated formation energy: -0.643 eV/atom
# * spin magnetization: 0.3 μB per formula unit
data_Pm3Co2Ge4
_chemical_formula_sum 'Pm3 Co2 Ge4'
_space_group_name_H-M_alt 'P 1'
_space_group_IT_number 1
_space_group_name_Hall 'P 1'
_cell_length_a 5.905
_cell_length_b 5.905
_cell_length_c 8.312
_cell_angle_alpha 100.40
_cell_angle_beta 100.40
_cell_angle_gamma 41.00
loop_
_atom_site_label
_atom_site_type_symbol
_atom_site_fract_x
_atom_site_fract_y
_atom_site_fract_z
_atom_site_occupancy
Pm1 Pm 0.000 0.000 0.000 1
Pm2 Pm 0.339 0.339 0.343 1
Pm3 Pm 0.661 0.661 0.657 1
Co1 Co 0.396 0.396 0.723 1
Co2 Co 0.604 0.604 0.277 1
Ge1 Ge 0.061 0.061 0.377 1
Ge2 Ge 0.278 0.278 0.923 1
Ge3 Ge 0.722 0.722 0.077 1
Ge4 Ge 0.939 0.939 0.623 1

=====

Entry 3:
# PmCo2Ge3 (GGA-PBE, relaxed)
# * D(E_F): 3.1 states/eV/f.u.
# * energy above the lowest structure with this stoichiometry: 0.0000 eV/atom
# * calculated formation energy: -0.446 eV/atom
# * spin magnetization: 0.0 μB per formula unit
data_PmCo2Ge3
_chemical_formula_sum 'Pm3 Co6 Ge9'
_space_group_name_H-M_alt 'P 1'
_space_group_IT_number 1
_space_group_name_Hall 'P 1'
_cell_length_a 8.150
_cell_length_b 8.150
_cell_length_c 9.638
_cell_angle_alpha 103.77
_cell_angle_beta 103.77
_cell_angle_gamma 28.28
loop_
_atom_site_label
_atom_site_type_symbol
_atom_site_fract_x
_atom_site_fract_y
_atom_site_fract_z
_atom_site_occupancy
Pm1 Pm 0.000 0.000 0.000 1
Pm2 Pm 0.151 0.151 0.696 1
Pm3 Pm 0.849 0.849 0.304 1
Co1 Co 0.207 0.207 0.080 1
Co2 Co 0.356 0.356 0.567 1
Co3 Co 0.497 0.497 0.239 1
Co4 Co 0.503 0.503 0.761 1
Co5 Co 0.644 0.644 0.433 1
Co6 Co 0.793 0.793 0.920 1
Ge1 Ge 0.052 0.052 0.352 1
Ge2 Ge 0.227 0.227 0.380 1
Ge3 Ge 0.356 0.356 0.078 1
Ge4 Ge 0.359 0.359 0.818 1
Ge5 Ge 0.500 0.500 0.500 1
Ge6 Ge 0.641 0.641 0.182 1
Ge7 Ge 0.644 0.644 0.922 1
Ge8 Ge 0.773 0.773 0.620 1
Ge9 Ge 0.948 0.948 0.648 1

=====

Entry 4:
# PmCoGe (GGA-PBE, relaxed)
# * D(E_F): 1.7 states/eV/f.u.
# * energy above the lowest structure with this stoichiometry: 0.0289 eV/atom
# * calculated formation energy: -0.590 eV/atom
# * spin magnetization: 0.0 μB per formula unit
data_PmCoGe
_chemical_formula_sum 'Pm4 Co4 Ge4'
_space_group_name_H-M_alt 'P 1'
_space_group_IT_number 1
_space_group_name_Hall 'P 1'
_cell_length_a 7.254
_cell_length_b 4.373
_cell_length_c 6.932
_cell_angle_alpha 90.00
_cell_angle_beta 90.00
_cell_angle_gamma 90.00
loop_
_atom_site_label
_atom_site_type_symbol
_atom_site_fract_x
_atom_site_fract_y
_atom_site_fract_z
_atom_site_occupancy
Pm1 Pm 0.024 0.250 0.184 1
Pm2 Pm 0.476 0.750 0.684 1
Pm3 Pm 0.524 0.250 0.316 1
Pm4 Pm 0.976 0.750 0.816 1
Co1 Co 0.140 0.750 0.432 1
Co2 Co 0.360 0.250 0.932 1
Co3 Co 0.640 0.750 0.068 1
Co4 Co 0.860 0.250 0.568 1
Ge1 Ge 0.193 0.250 0.609 1
Ge2 Ge 0.307 0.750 0.109 1
Ge3 Ge 0.693 0.250 0.891 1
Ge4 Ge 0.807 0.750 0.391 1

=====

Entry 5:
# PmCoGe (GGA-PBE, relaxed)
# * D(E_F): 5.2 states/eV/f.u.
# * energy above the lowest structure with this stoichiometry: 0.3506 eV/atom
# * calculated formation energy: -0.268 eV/atom
# * spin magnetization: 0.9 μB per formula unit
data_PmCoGe
_chemical_formula_sum 'Pm1 Co1 Ge1'
_space_group_name_H-M_alt 'P 1'
_space_group_IT_number 1
_space_group_name_Hall 'P 1'
_cell_length_a 4.422
_cell_length_b 4.422
_cell_length_c 4.422
_cell_angle_alpha 60.00
_cell_angle_beta 60.00
_cell_angle_gamma 60.00
loop_
_atom_site_label
_atom_site_type_symbol
_atom_site_fract_x
_atom_site_fract_y
_atom_site_fract_z
_atom_site_occupancy
Pm1 Pm 0.000 0.000 0.000 1
Co1 Co 0.250 0.250 0.250 1
Ge1 Ge 0.500 0.500 0.500 1

=====

Entry 6:
# PmCoGe3 (GGA-PBE, relaxed)
# * D(E_F): 1.8 states/eV/f.u.
# * calculated formation energy: -0.568 eV/atom
# * spin magnetization: 0.0 μB per formula unit
data_PmCoGe3
_chemical_formula_sum 'Pm1 Co1 Ge3'
_space_group_name_H-M_alt 'P 1'
_space_group_IT_number 1
_space_group_name_Hall 'P 1'
_cell_length_a 5.806
_cell_length_b 5.806
_cell_length_c 5.806
_cell_angle_alpha 136.49
_cell_angle_beta 136.49
_cell_angle_gamma 63.23
loop_
_atom_site_label
_atom_site_type_symbol
_atom_site_fract_x
_atom_site_fract_y
_atom_site_fract_z
_atom_site_occupancy
Pm1 Pm 0.000 0.000 0.000 1
Co1 Co 0.666 0.666 0.000 1
Ge1 Ge 0.259 0.759 0.500 1
Ge2 Ge 0.436 0.436 0.000 1
Ge3 Ge 0.759 0.259 0.500 1

=====

Entry 7:
# PmCo2Ge2 (GGA-PBE, relaxed)
# * D(E_F): 3.2 states/eV/f.u.
# * calculated formation energy: -0.604 eV/atom
# * spin magnetization: 0.0 μB per formula unit
data_PmCo2Ge2
_chemical_formula_sum 'Pm1 Co2 Ge2'
_space_group_name_H-M_alt 'P 1'
_space_group_IT_number 1
_space_group_name_Hall 'P 1'
_cell_length_a 5.872
_cell_length_b 5.872
_cell_length_c 5.872
_cell_angle_alpha 140.19
_cell_angle_beta 140.19
_cell_angle_gamma 57.57
loop_
_atom_site_label
_atom_site_type_symbol
_atom_site_fract_x
_atom_site_fract_y
_atom_site_fract_z
_atom_site_occupancy
Pm1 Pm 0.000 0.000 0.000 1
Co1 Co 0.250 0.750 0.500 1
Co2 Co 0.750 0.250 0.500 1
Ge1 Ge 0.369 0.369 0.000 1
Ge2 Ge 0.631 0.631 0.000 1

=====

Entry 8:
# PmCoGe2 (GGA-PBE, relaxed)
# * D(E_F): 2.5 states/eV/f.u.
# * energy above the lowest structure with this stoichiometry: 0.0000 eV/atom
# * calculated formation energy: -0.668 eV/atom
# * spin magnetization: 0.0 μB per formula unit
data_PmCoGe2
_chemical_formula_sum 'Pm2 Co2 Ge4'
_space_group_name_H-M_alt 'P 1'
_space_group_IT_number 1
_space_group_name_Hall 'P 1'
_cell_length_a 8.597
_cell_length_b 8.597
_cell_length_c 4.219
_cell_angle_alpha 90.00
_cell_angle_beta 90.00
_cell_angle_gamma 151.60
loop_
_atom_site_label
_atom_site_type_symbol
_atom_site_fract_x
_atom_site_fract_y
_atom_site_fract_z
_atom_site_occupancy
Pm1 Pm 0.109 0.891 0.750 1
Pm2 Pm 0.891 0.109 0.250 1
Co1 Co 0.318 0.682 0.750 1
Co2 Co 0.682 0.318 0.250 1
Ge1 Ge 0.250 0.750 0.250 1
Ge2 Ge 0.455 0.545 0.750 1
Ge3 Ge 0.545 0.455 0.250 1
Ge4 Ge 0.750 0.250 0.750 1

=====

Entry 9:
# PmCo3Ge (GGA-PBE, relaxed)
# * D(E_F): 6.7 states/eV/f.u.
# * calculated formation energy: -0.194 eV/atom
# * spin magnetization: 1.8 μB per formula unit
data_PmCo3Ge
_chemical_formula_sum 'Pm2 Co6 Ge2'
_space_group_name_H-M_alt 'P 1'
_space_group_IT_number 1
_space_group_name_Hall 'P 1'
_cell_length_a 6.322
_cell_length_b 6.322
_cell_length_c 6.322
_cell_angle_alpha 135.65
_cell_angle_beta 97.30
_cell_angle_gamma 99.08
loop_
_atom_site_label
_atom_site_type_symbol
_atom_site_fract_x
_atom_site_fract_y
_atom_site_fract_z
_atom_site_occupancy
Pm1 Pm 0.299 0.049 0.250 1
Pm2 Pm 0.701 0.951 0.750 1
Co1 Co 0.072 0.322 0.750 1
Co2 Co 0.233 0.000 0.733 1
Co3 Co 0.233 0.500 0.233 1
Co4 Co 0.767 0.000 0.267 1
Co5 Co 0.767 0.500 0.767 1
Co6 Co 0.928 0.678 0.250 1
Ge1 Ge 0.000 0.500 0.500 1
Ge2 Ge 0.500 0.500 0.000 1

=====

Entry 10:
# Pm7Co2Ge2 (GGA-PBE, relaxed)
# * D(E_F): 11.2 states/eV/f.u.
# * calculated formation energy: -0.215 eV/atom
# * spin magnetization: 0.0 μB per formula unit
data_Pm7Co2Ge2
_chemical_formula_sum 'Pm7 Co2 Ge2'
_space_group_name_H-M_alt 'P 1'
_space_group_IT_number 1
_space_group_name_Hall 'P 1'
_cell_length_a 6.822
_cell_length_b 6.822
_cell_length_c 6.845
_cell_angle_alpha 90.00
_cell_angle_beta 90.00
_cell_angle_gamma 110.21
loop_
_atom_site_label
_atom_site_type_symbol
_atom_site_fract_x
_atom_site_fract_y
_atom_site_fract_z
_atom_site_occupancy
Pm1 Pm 0.000 0.000 0.000 1
Pm2 Pm 0.000 0.500 0.255 1
Pm3 Pm 0.000 0.500 0.745 1
Pm4 Pm 0.500 0.000 0.255 1
Pm5 Pm 0.500 0.000 0.745 1
Pm6 Pm 0.500 0.500 0.247 1
Pm7 Pm 0.500 0.500 0.753 1
Co1 Co 0.297 0.703 0.000 1
Co2 Co 0.703 0.297 0.000 1
Ge1 Ge 0.163 0.163 0.500 1
Ge2 Ge 0.837 0.837 0.500 1